No. 1
Density functional theory data (PBE) for an optimized crystal structure of KLaPt.

Lattice parameters (Å, degrees): 4.2475 4.2475 7.5910 90.00 90.00 120.00
Last column: nearest neighbours and their distance in Å.
Fractional coordinates of all 3 atoms:
1 K 0.0000 0.0000 0.0000  3 Pt 3.35
2 La 0.6667 0.3333 0.5157  3 Pt 2.82
3 Pt 0.3333 0.6667 0.7000  3 La 2.82

SG: P3m1 (156)
E_form: -0.442 eV/atom

***

No. 2
Density functional theory data (PBE) for an optimized crystal structure of Hf3Ga2Pt.

Lattice parameters (Å, degrees): 10.8983 4.2485 9.7506 90.00 90.00 90.00
Last column: nearest neighbours and their distance in Å.
Fractional coordinates of all 24 atoms:
1 Hf 0.0359 0.2500 0.1359  1 Pt 2.76, 5 Ga 2.77-2.94
2 Hf 0.1593 0.7500 0.6051  5 Ga 2.81-3.10, 3 Pt 2.94-3.08, 3 Hf 2.98-3.15
3 Hf 0.2102 0.2500 0.8363  2 Pt 2.86, 5 Ga 2.89-3.17, 3 Hf 2.98-3.15
4 Hf 0.2898 0.7500 0.3363  2 Pt 2.86, 5 Ga 2.89-3.17, 3 Hf 2.98-3.15
5 Hf 0.3407 0.2500 0.1051  5 Ga 2.81-3.10, 3 Pt 2.94-3.08, 3 Hf 2.98-3.15
6 Hf 0.4641 0.7500 0.6359  1 Pt 2.76, 5 Ga 2.77-2.94
7 Hf 0.5359 0.2500 0.3641  1 Pt 2.76, 5 Ga 2.77-2.94
8 Hf 0.6593 0.7500 0.8949  5 Ga 2.81-3.10, 3 Pt 2.94-3.08, 3 Hf 2.98-3.15
9 Hf 0.7102 0.2500 0.6637  2 Pt 2.86, 5 Ga 2.89-3.17, 3 Hf 2.98-3.15
10 Hf 0.7898 0.7500 0.1637  2 Pt 2.86, 5 Ga 2.89-3.17, 3 Hf 2.98-3.15
11 Hf 0.8407 0.2500 0.3949  5 Ga 2.81-3.10, 3 Pt 2.94-3.08, 3 Hf 2.98-3.15
12 Hf 0.9641 0.7500 0.8641  1 Pt 2.76, 5 Ga 2.77-2.94
13 Ga 0.0024 0.7500 0.3403  3 Pt 2.57-2.87, 2 Hf 2.81
14 Ga 0.1731 0.7500 0.0382  1 Pt 2.59, 5 Hf 2.77-2.88
15 Ga 0.3269 0.2500 0.5382  1 Pt 2.59, 5 Hf 2.77-2.88
16 Ga 0.4976 0.2500 0.8403  3 Pt 2.57-2.87, 2 Hf 2.81
17 Ga 0.5024 0.7500 0.1597  3 Pt 2.57-2.87, 2 Hf 2.81
18 Ga 0.6731 0.7500 0.4618  1 Pt 2.59, 5 Hf 2.77-2.88
19 Ga 0.8269 0.2500 0.9618  1 Pt 2.59, 5 Hf 2.77-2.88
20 Ga 0.9976 0.2500 0.6597  3 Pt 2.57-2.87, 2 Hf 2.81
21 Pt 0.1234 0.2500 0.4010  4 Ga 2.57-2.87, 3 Hf 2.76-2.86
22 Pt 0.3766 0.7500 0.9010  4 Ga 2.57-2.87, 3 Hf 2.76-2.86
23 Pt 0.6234 0.2500 0.0990  4 Ga 2.57-2.87, 3 Hf 2.76-2.86
24 Pt 0.8766 0.7500 0.5990  4 Ga 2.57-2.87, 3 Hf 2.76-2.86

SG: Pnma (62)
E_form: -0.619 eV/atom

***

No. 3
Density functional theory data (PBE) for an optimized crystal structure of Ac4BeBi2.

Lattice parameters (Å, degrees): 9.7940 9.7940 9.7940 147.51 147.51 46.61
Last column: nearest neighbours and their distance in Å.
Fractional coordinates of all 7 atoms:
1 Ac 0.0000 0.5000 0.5000  2 Be 2.74
2 Ac 0.1710 0.1710 0.0000  1 Be 3.08
3 Ac 0.5000 0.0000 0.5000  2 Be 2.74
4 Ac 0.8290 0.8290 0.0000  1 Be 3.08
5 Be 0.0000 0.0000 0.0000  4 Ac 2.74
6 Bi 0.3636 0.3636 0.0000  5 Ac 3.46-3.68
7 Bi 0.6364 0.6364 0.0000  5 Ac 3.46-3.68

SG: I4/mmm (139)
E_form: -0.311 eV/atom

***

No. 4
Density functional theory data (PBE) for an optimized crystal structure of Tb3NdDy5.

Lattice parameters (Å, degrees): 8.8269 8.8269 11.3708 107.31 107.31 44.61
Last column: nearest neighbours and their distance in Å.
Fractional coordinates of all 18 atoms:
1 Tb 0.0000 0.0000 0.0000  2 Nd 3.23, 2 Dy 3.56
2 Tb 0.0000 0.0000 0.5000  2 Nd 3.23, 2 Dy 3.56
3 Tb 0.1400 0.3826 0.6436  7 Dy 3.33-3.59, 1 Tb 3.61
4 Tb 0.3826 0.1400 0.1436  7 Dy 3.33-3.59, 1 Tb 3.61
5 Tb 0.6174 0.8600 0.8564  7 Dy 3.33-3.59, 1 Tb 3.61
6 Tb 0.8600 0.6174 0.3564  7 Dy 3.33-3.59, 1 Tb 3.61
7 Nd 0.2278 0.7722 0.7500  1 Dy 3.03, 2 Tb 3.23
8 Nd 0.7722 0.2278 0.2500  1 Dy 3.03, 2 Tb 3.23
9 Dy 0.0565 0.2951 0.8729  1 Dy 3.07, 2 Tb 3.33-3.36
10 Dy 0.2951 0.0565 0.3729  1 Dy 3.07, 2 Tb 3.33-3.36
11 Dy 0.3194 0.6806 0.2500  1 Nd 3.03, 2 Dy 3.07
12 Dy 0.3882 0.3956 0.4542  5 Dy 3.34-3.62, 4 Tb 3.47-3.72, 1 Nd 3.72
13 Dy 0.3956 0.3882 0.9542  5 Dy 3.34-3.62, 4 Tb 3.47-3.72, 1 Nd 3.72
14 Dy 0.6044 0.6118 0.0458  5 Dy 3.34-3.62, 4 Tb 3.47-3.72, 1 Nd 3.72
15 Dy 0.6118 0.6044 0.5458  5 Dy 3.34-3.62, 4 Tb 3.47-3.72, 1 Nd 3.72
16 Dy 0.6806 0.3194 0.7500  1 Nd 3.03, 2 Dy 3.07
17 Dy 0.7049 0.9435 0.6271  1 Dy 3.07, 2 Tb 3.33-3.36
18 Dy 0.9435 0.7049 0.1271  1 Dy 3.07, 2 Tb 3.33-3.36

SG: C2/c (15)
E_form: 0.174 eV/atom

***

Electronic total energy: -13.4 -182.7 -30.1 -80.2 (eV for the cell shown)